PBE with a Hubbard U CeMn2Ge4O12, relaxed; SG = No. 125; E = -7.170 eV/atom
1.0
4.9651 0.0000 0.0000
0.0000 9.9861 0.0000
0.0000 0.0000 9.9861
Ge O Mn Ce
8 24 4 2
Direct
0.0000 0.2500 0.5240 Ge
0.0000 0.2500 0.9760 Ge
0.0000 0.4760 0.7500 Ge
0.0000 0.5240 0.2500 Ge
0.0000 0.9760 0.2500 Ge
0.0000 0.7500 0.0240 Ge
0.0000 0.7500 0.4760 Ge
0.0000 0.0240 0.7500 Ge
0.7439 0.6666 0.5637 O
0.1730 0.6299 0.3701 O
0.2561 0.6666 0.9363 O
0.1730 0.8701 0.1299 O
0.7439 0.9363 0.6666 O
0.1730 0.3701 0.8701 O
0.8270 0.3701 0.6299 O
0.2561 0.1666 0.0637 O
0.8270 0.8701 0.3701 O
0.1730 0.1299 0.6299 O
0.2561 0.8334 0.5637 O
0.7439 0.1666 0.4363 O
0.2561 0.4363 0.1666 O
0.2561 0.9363 0.8334 O
0.7439 0.3334 0.0637 O
0.8270 0.1299 0.8701 O
0.7439 0.0637 0.1666 O
0.2561 0.0637 0.3334 O
0.8270 0.6299 0.1299 O
0.2561 0.5637 0.6666 O
0.7439 0.5637 0.8334 O
0.7439 0.8334 0.9363 O
0.2561 0.3334 0.4363 O
0.7439 0.4363 0.3334 O
0.5000 0.0000 0.0000 Mn
0.5000 0.0000 0.5000 Mn
0.5000 0.5000 0.0000 Mn
0.5000 0.5000 0.5000 Mn
0.5000 0.7500 0.7500 Ce
0.5000 0.2500 0.2500 Ce